Record 1
# GGA-PBE CsRb2SeCl6, relaxed
data_CsRb2SeCl6
_chemical_formula_sum 'Cs1 Rb2 Se1 Cl6'
_space_group_name_H-M_alt 'P 1'
_space_group_IT_number 1
_cell_length_a 7.942
_cell_length_b 7.942
_cell_length_c 8.435
_cell_angle_alpha 61.92
_cell_angle_beta 61.92
_cell_angle_gamma 90.00
loop_
_space_group_symop_operation_xyz
'x,y,z'
loop_
_atom_site_label
_atom_site_type_symbol
_atom_site_fract_x
_atom_site_fract_y
_atom_site_fract_z
_atom_site_occupancy
Cs1 Cs 0.000 0.000 0.000 1
Se1 Se 0.500 0.500 0.000 1
Rb1 Rb 0.750 0.250 0.500 1
Rb2 Rb 0.250 0.750 0.500 1
Cl1 Cl 0.259 0.259 0.482 1
Cl2 Cl 0.741 0.741 0.518 1
Cl3 Cl 0.286 0.286 0.000 1
Cl4 Cl 0.714 0.714 0.000 1
Cl5 Cl 0.714 0.286 0.000 1
Cl6 Cl 0.286 0.714 0.000 1
# - E_form (uncorrected) (meV per atom) = -1186
# - Fermi-level density of states (states/eV per atom) = 0.0000
# - crystal system = tetragonal

=====

Record 2
# GGA-PBE LiZnCdMo2, relaxed
data_LiZnCdMo2
_chemical_formula_sum 'Li1 Zn1 Cd1 Mo2'
_space_group_name_H-M_alt 'P 1'
_space_group_IT_number 1
_cell_length_a 4.329
_cell_length_b 4.319
_cell_length_c 4.329
_cell_angle_alpha 90.00
_cell_angle_beta 90.00
_cell_angle_gamma 90.00
loop_
_space_group_symop_operation_xyz
'x,y,z'
loop_
_atom_site_label
_atom_site_type_symbol
_atom_site_fract_x
_atom_site_fract_y
_atom_site_fract_z
_atom_site_occupancy
Mo1 Mo 0.000 0.000 0.500 1
Mo2 Mo 0.500 0.000 0.000 1
Li1 Li 0.000 0.000 0.000 1
Zn1 Zn 0.000 0.500 0.000 1
Cd1 Cd 0.500 0.500 0.500 1
# - energy of formation from the pure elements (meV/atom) = 1131
# - Fermi-level density of states (states/eV per atom) = 1.0123
# - crystal system = tetragonal

=====

Record 3
# GGA-PBE Tb5Si2S2, relaxed
data_Tb5Si2S2
_chemical_formula_sum 'Tb10 Si4 S4'
_space_group_name_H-M_alt 'P 1'
_space_group_IT_number 1
_cell_length_a 7.441
_cell_length_b 7.542
_cell_length_c 8.052
_cell_angle_alpha 90.00
_cell_angle_beta 62.48
_cell_angle_gamma 90.00
loop_
_space_group_symop_operation_xyz
'x,y,z'
loop_
_atom_site_label
_atom_site_type_symbol
_atom_site_fract_x
_atom_site_fract_y
_atom_site_fract_z
_atom_site_occupancy
Tb1 Tb 0.000 0.000 0.000 1
Tb2 Tb 0.500 0.500 0.000 1
Tb3 Tb 0.468 0.164 0.722 1
Tb4 Tb 0.810 0.836 0.722 1
Tb5 Tb 0.310 0.664 0.722 1
Tb6 Tb 0.968 0.336 0.722 1
Tb7 Tb 0.532 0.836 0.278 1
Tb8 Tb 0.190 0.164 0.278 1
Tb9 Tb 0.690 0.336 0.278 1
Tb10 Tb 0.032 0.664 0.278 1
Si1 Si 0.122 0.377 0.000 1
Si2 Si 0.878 0.623 0.000 1
Si3 Si 0.378 0.877 0.000 1
Si4 Si 0.622 0.123 0.000 1
S1 S 0.197 0.000 0.606 1
S2 S 0.697 0.500 0.606 1
S3 S 0.803 0.000 0.394 1
S4 S 0.303 0.500 0.394 1
# - E_form (uncorrected) (meV per atom) = -1207
# - Fermi-level density of states (states/eV per atom) = 0.6408
# - crystal system = orthorhombic

=====

Record 4
# GGA-PBE Th2CdAu6, relaxed
data_Th2CdAu6
_chemical_formula_sum 'Th2 Cd1 Au6'
_space_group_name_H-M_alt 'P 1'
_space_group_IT_number 1
_cell_length_a 5.399
_cell_length_b 6.582
_cell_length_c 6.582
_cell_angle_alpha 120.00
_cell_angle_beta 90.00
_cell_angle_gamma 90.00
loop_
_space_group_symop_operation_xyz
'x,y,z'
loop_
_atom_site_label
_atom_site_type_symbol
_atom_site_fract_x
_atom_site_fract_y
_atom_site_fract_z
_atom_site_occupancy
Th1 Th 0.322 0.667 0.333 1
Th2 Th 0.678 0.333 0.667 1
Cd1 Cd 0.500 0.000 0.000 1
Au1 Au 0.819 0.812 0.624 1
Au2 Au 0.819 0.812 0.188 1
Au3 Au 0.181 0.624 0.812 1
Au4 Au 0.819 0.376 0.188 1
Au5 Au 0.181 0.188 0.812 1
Au6 Au 0.181 0.188 0.376 1
# - energy of formation from the pure elements (meV/atom) = -492
# - Fermi-level density of states (states/eV per atom) = 0.5396
# - crystal system = trigonal

=====

Record 5
# GGA-PBE KCu, relaxed
data_KCu
_chemical_formula_sum 'K3 Cu3'
_space_group_name_H-M_alt 'P 1'
_space_group_IT_number 1
_cell_length_a 9.937
_cell_length_b 9.937
_cell_length_c 7.489
_cell_angle_alpha 39.95
_cell_angle_beta 39.95
_cell_angle_gamma 25.20
loop_
_space_group_symop_operation_xyz
'x,y,z'
loop_
_atom_site_label
_atom_site_type_symbol
_atom_site_fract_x
_atom_site_fract_y
_atom_site_fract_z
_atom_site_occupancy
K1 K 0.699 0.699 0.564 1
K2 K 0.973 0.973 0.722 1
K3 K 0.246 0.246 0.882 1
Cu1 Cu 0.972 0.972 0.223 1
Cu2 Cu 0.424 0.424 0.180 1
Cu3 Cu 0.520 0.520 0.264 1
# - energy of formation from the pure elements (meV/atom) = 256
# - Fermi-level density of states (states/eV per atom) = 0.4447
# - crystal system = monoclinic

=====

Record 6
# GGA-PBE HfTiCd2, relaxed
data_HfTiCd2
_chemical_formula_sum 'Hf2 Ti2 Cd4'
_space_group_name_H-M_alt 'P 1'
_space_group_IT_number 1
_cell_length_a 4.183
_cell_length_b 4.255
_cell_length_c 10.103
_cell_angle_alpha 90.00
_cell_angle_beta 114.38
_cell_angle_gamma 90.00
loop_
_space_group_symop_operation_xyz
'x,y,z'
loop_
_atom_site_label
_atom_site_type_symbol
_atom_site_fract_x
_atom_site_fract_y
_atom_site_fract_z
_atom_site_occupancy
Hf1 Hf 0.384 0.250 0.384 1
Hf2 Hf 0.616 0.750 0.616 1
Ti1 Ti 0.892 0.750 0.391 1
Ti2 Ti 0.108 0.250 0.609 1
Cd1 Cd 0.630 0.250 0.129 1
Cd2 Cd 0.370 0.750 0.871 1
Cd3 Cd 0.129 0.750 0.128 1
Cd4 Cd 0.871 0.250 0.872 1
# - energy of formation from the pure elements (meV/atom) = -67
# - Fermi-level density of states (states/eV per atom) = 0.5175
# - crystal system = monoclinic

=====

Record 7
# GGA-PBE ThAl, relaxed
data_ThAl
_chemical_formula_sum 'Th8 Al8'
_space_group_name_H-M_alt 'P 1'
_space_group_IT_number 1
_cell_length_a 5.674
_cell_length_b 6.002
_cell_length_c 11.785
_cell_angle_alpha 90.00
_cell_angle_beta 90.00
_cell_angle_gamma 90.00
loop_
_space_group_symop_operation_xyz
'x,y,z'
loop_
_atom_site_label
_atom_site_type_symbol
_atom_site_fract_x
_atom_site_fract_y
_atom_site_fract_z
_atom_site_occupancy
Th1 Th 0.750 0.143 0.484 1
Th2 Th 0.250 0.857 0.516 1
Th3 Th 0.250 0.143 0.016 1
Th4 Th 0.750 0.857 0.984 1
Th5 Th 0.750 0.379 0.175 1
Th6 Th 0.250 0.621 0.825 1
Th7 Th 0.250 0.379 0.325 1
Th8 Th 0.750 0.621 0.675 1
Al1 Al 0.750 0.646 0.404 1
Al2 Al 0.250 0.354 0.596 1
Al3 Al 0.250 0.646 0.096 1
Al4 Al 0.750 0.354 0.904 1
Al5 Al 0.500 0.900 0.250 1
Al6 Al 0.000 0.100 0.750 1
Al7 Al 0.500 0.100 0.750 1
Al8 Al 0.000 0.900 0.250 1
# - energy of formation from the pure elements (meV/atom) = -299
# - Fermi-level density of states (states/eV per atom) = 1.1864
# - crystal system = orthorhombic

=====

Record 8
# GGA-PBE Tb6Er8Sc, relaxed
data_Tb6Er8Sc
_chemical_formula_sum 'Tb6 Er8 Sc1'
_space_group_name_H-M_alt 'P 1'
_space_group_IT_number 1
_cell_length_a 8.950
_cell_length_b 8.950
_cell_length_c 8.528
_cell_angle_alpha 58.35
_cell_angle_beta 58.35
_cell_angle_gamma 60.00
loop_
_space_group_symop_operation_xyz
'x,y,z'
loop_
_atom_site_label
_atom_site_type_symbol
_atom_site_fract_x
_atom_site_fract_y
_atom_site_fract_z
_atom_site_occupancy
Tb1 Tb 0.456 0.889 0.876 1
Tb2 Tb 0.111 0.221 0.124 1
Tb3 Tb 0.221 0.544 0.124 1
Tb4 Tb 0.779 0.456 0.876 1
Tb5 Tb 0.889 0.779 0.876 1
Tb6 Tb 0.544 0.111 0.124 1
Er1 Er 0.722 0.110 0.423 1
Er2 Er 0.890 0.254 0.577 1
Er3 Er 0.254 0.278 0.577 1
Er4 Er 0.577 0.577 0.270 1
Er5 Er 0.423 0.423 0.730 1
Er6 Er 0.746 0.722 0.423 1
Er7 Er 0.110 0.746 0.423 1
Er8 Er 0.278 0.890 0.577 1
Sc1 Sc 0.000 0.000 0.000 1
# - energy of formation from the pure elements (meV/atom) = 119
# - Fermi-level density of states (states/eV per atom) = 1.5162
# - crystal system = trigonal

=====

For the records above, the corresponding M_tot values read 1.00; 0.00; 0.00; 0.00; 0.00; 0.00; 0.00; 0.00 μB per formula unit.